[1]
# Rb2BSe (PBEsol, relaxed)
data_Rb2BSe
_space_group_name_H-M_alt 'P 1'
_space_group_IT_number 1
_cell_length_a 5.547
_cell_length_b 5.547
_cell_length_c 5.547
_cell_angle_alpha 60.00
_cell_angle_beta 60.00
_cell_angle_gamma 60.00
loop_
_space_group_symop_operation_xyz
'x,y,z'
loop_
_atom_site_label
_atom_site_type_symbol
_atom_site_fract_x
_atom_site_fract_y
_atom_site_fract_z
_atom_site_occupancy
B1 B 0.000 0.000 0.000 1
Se1 Se 0.500 0.500 0.500 1
Rb1 Rb 0.250 0.250 0.250 1
Rb2 Rb 0.750 0.750 0.750 1
# - N(E_F): 3.01 states/eV per cell
# - Raw formation energy: 0.587 eV per atom
# - Raw total energy: -2.642 eV/atom

[2]
# NbZn2ReSe (PBEsol, relaxed)
data_NbZn2ReSe
_space_group_name_H-M_alt 'P 1'
_space_group_IT_number 1
_cell_length_a 4.492
_cell_length_b 4.565
_cell_length_c 4.565
_cell_angle_alpha 90.00
_cell_angle_beta 90.00
_cell_angle_gamma 90.00
loop_
_space_group_symop_operation_xyz
'x,y,z'
loop_
_atom_site_label
_atom_site_type_symbol
_atom_site_fract_x
_atom_site_fract_y
_atom_site_fract_z
_atom_site_occupancy
Re1 Re 0.500 0.000 0.000 1
Nb1 Nb 0.500 0.500 0.500 1
Zn1 Zn 0.000 0.000 0.500 1
Zn2 Zn 0.000 0.500 0.000 1
Se1 Se 0.000 0.000 0.000 1
# - N(E_F): 5.67 states/eV per cell
# - Raw formation energy: 1.365 eV per atom
# - Raw total energy: -4.869 eV/atom

[3]
# YSiP2 (PBEsol, relaxed)
data_YSiP2
_space_group_name_H-M_alt 'P 1'
_space_group_IT_number 1
_cell_length_a 3.462
_cell_length_b 5.009
_cell_length_c 5.009
_cell_angle_alpha 60.75
_cell_angle_beta 69.78
_cell_angle_gamma 69.78
loop_
_space_group_symop_operation_xyz
'x,y,z'
loop_
_atom_site_label
_atom_site_type_symbol
_atom_site_fract_x
_atom_site_fract_y
_atom_site_fract_z
_atom_site_occupancy
P1 P 0.204 0.796 0.796 1
P2 P 0.796 0.204 0.204 1
Si1 Si 0.500 0.000 0.000 1
Y1 Y 0.000 0.500 0.500 1
# - N(E_F): 2.17 states/eV per cell
# - Raw formation energy: -0.526 eV per atom
# - Raw total energy: -6.564 eV/atom

Q: Which of these has the highest raw formation energy?
A: NbZn2ReSe

Q: The highest raw total energy belongs to which entry?
A: Rb2BSe

Q: Among the records above, which one has the highest raw formation energy?
A: NbZn2ReSe